Record 1
Here is Pm2PaSbN5 after structural relaxation from Alexandria via LeMat-Bulk. Energies are from PBE.

a b c (Å): 3.5841 7.4296 10.6648
angles (deg): 90.00 90.00 103.96
With the nearest neighbours (Å) after each atom.
Fractional coordinates of all 18 atoms:
Pm  0.8664  0.7328  0.7870  6 N 2.58-2.70
Pm  0.1140  0.2280  0.6982  5 N 2.49-2.73
Pm  0.1336  0.2672  0.2870  6 N 2.58-2.70
Pm  0.8860  0.7720  0.1982  5 N 2.49-2.73
Pa  0.7832  0.5665  0.5050  6 N 2.23-2.44
Pa  0.2168  0.4335  0.0050  6 N 2.23-2.44
Sb  0.5145  0.0291  0.9732  4 N 2.05-2.10
Sb  0.4855  0.9709  0.4732  4 N 2.05-2.10
N  0.3712  0.7423  0.0059  1 Sb 2.10, 1 Pa 2.23
N  0.6990  0.3980  0.8709  2 Pa 2.31, 1 Pm 2.58
N  0.4966  0.9932  0.7826  1 Sb 2.05
N  0.2819  0.5638  0.6420  2 Pa 2.31, 1 Pm 2.49
N  0.9474  0.8947  0.5592  2 Sb 2.09
N  0.6288  0.2577  0.5059  1 Sb 2.10, 1 Pa 2.23
N  0.3010  0.6020  0.3709  2 Pa 2.31, 1 Pm 2.58
N  0.5034  0.0068  0.2826  1 Sb 2.05
N  0.7181  0.4362  0.1420  2 Pa 2.31, 1 Pm 2.49
N  0.0526  0.1053  0.0592  2 Sb 2.09

Record 2
Here is MnPdCl6 after structural relaxation from Alexandria via LeMat-Bulk. Energies are from PBE.

a b c (Å): 6.1213 6.5404 6.5404
angles (deg): 63.57 88.00 92.00
With the nearest neighbours (Å) after each atom.
Fractional coordinates of all 8 atoms:
Mn  0.5000  0.0208  0.0208  6 Cl 2.26-2.43
Pd  0.0000  0.0207  0.0207  4 Cl 2.35
Cl  0.6703  0.7390  0.3025  1 Mn 2.26
Cl  0.3297  0.3025  0.7390  1 Mn 2.26
Cl  0.2312  0.0389  0.2930  1 Pd 2.35, 1 Mn 2.43
Cl  0.2312  0.7485  0.0027  1 Pd 2.35, 1 Mn 2.43
Cl  0.7688  0.0027  0.7485  1 Pd 2.35, 1 Mn 2.43
Cl  0.7688  0.2930  0.0389  1 Pd 2.35, 1 Mn 2.43

Record 3
Here is Ho4CdPd7 after structural relaxation from Alexandria via LeMat-Bulk. Energies are from PBE.

Output
**ΔH_f (0 K)**: -0.670 eV/atom

a b c (Å): 5.1948 9.3719 5.9809
angles (deg): 81.35 64.26 73.91
With the nearest neighbours (Å) after each atom.
Fractional coordinates of all 12 atoms:
Ho  0.5943  0.2123  0.5991  8 Pd 2.82-3.05
Ho  0.4057  0.7877  0.4009  8 Pd 2.82-3.05
Ho  0.7885  0.6343  0.7887  5 Pd 2.80-2.90
Ho  0.2115  0.3657  0.2113  5 Pd 2.80-2.90
Cd  0.0000  0.0000  0.0000  4 Pd 2.60-2.88
Pd  0.7892  0.9049  0.5167  2 Pd 2.77-2.79, 4 Ho 2.80-2.88, 1 Cd 2.88
Pd  0.2108  0.0951  0.4833  2 Pd 2.77-2.79, 4 Ho 2.80-2.88, 1 Cd 2.88
Pd  0.0764  0.6872  0.1601  2 Pd 2.75-2.79, 3 Ho 2.90-3.05, 1 Cd 2.92
Pd  0.9236  0.3128  0.8399  2 Pd 2.75-2.79, 3 Ho 2.90-3.05, 1 Cd 2.92
Pd  0.3682  0.5199  0.7437  2 Pd 2.66-2.75, 4 Ho 2.81-2.90
Pd  0.5000  0.0000  0.0000  2 Cd 2.60, 2 Pd 2.77, 2 Ho 2.83
Pd  0.6318  0.4801  0.2563  2 Pd 2.66-2.75, 4 Ho 2.81-2.90

Record 4
Here is Ti2Nb2Ni after structural relaxation from Alexandria via LeMat-Bulk. Energies are from PBE.

Output
**ΔH_f (0 K)**: 0.263 eV/atom
**Polymorph energy (0 for the lowest one)**: 117 meV per atom

a b c (Å): 6.6099 6.6099 3.9744
angles (deg): 90.00 90.00 90.00
With the nearest neighbours (Å) after each atom.
Fractional coordinates of all 10 atoms:
Ni  0.0000  0.0000  0.0000  4 Nb 2.53
Ni  0.5000  0.5000  0.0000  4 Nb 2.53
Nb  0.3533  0.8533  0.0000  2 Ni 2.53, 2 Ti 2.68, 1 Nb 2.74
Nb  0.8533  0.6467  0.0000  2 Ni 2.53, 2 Ti 2.68, 1 Nb 2.74
Nb  0.6467  0.1467  0.0000  2 Ni 2.53, 2 Ti 2.68, 1 Nb 2.74
Nb  0.1467  0.3533  0.0000  2 Ni 2.53, 2 Ti 2.68, 1 Nb 2.74
Ti  0.1616  0.6616  0.5000  6 Nb 2.68-2.85
Ti  0.6616  0.8384  0.5000  6 Nb 2.68-2.85
Ti  0.8384  0.3384  0.5000  6 Nb 2.68-2.85
Ti  0.3384  0.1616  0.5000  6 Nb 2.68-2.85

Record 5
Here is CrPt3Rh after structural relaxation from Alexandria via LeMat-Bulk. Energies are from PBE.

Output
**ΔH_f (0 K)**: 1.804 eV/atom
**Polymorph energy (0 for the lowest one)**: 1810 meV per atom

a b c (Å): 4.7654 4.7654 4.7654
angles (deg): 90.00 90.00 90.00
With the nearest neighbours (Å) after each atom.
Fractional coordinates of all 5 atoms:
Cr  0.5000  0.5000  0.5000  12 Pt 3.37
Rh  0.0000  0.0000  0.0000  6 Pt 2.38
Pt  0.0000  0.5000  0.0000  2 Rh 2.38
Pt  0.0000  0.0000  0.5000  2 Rh 2.38
Pt  0.5000  0.0000  0.0000  2 Rh 2.38

Record 6
Here is Zn8Co2Cu after structural relaxation from Alexandria via LeMat-Bulk. Energies are from PBE.

Output
**ΔH_f (0 K)**: -0.018 eV/atom

a b c (Å): 3.7856 6.1511 6.9618
angles (deg): 108.95 105.78 90.00
With the nearest neighbours (Å) after each atom.
Fractional coordinates of all 11 atoms:
Zn  0.6032  0.4585  0.2064  3 Co 2.51-2.56, 7 Zn 2.63-2.78, 1 Cu 2.69
Zn  0.3171  0.0885  0.6342  8 Zn 2.58-2.76, 3 Co 2.61-2.71, 1 Cu 2.68
Zn  0.1429  0.1981  0.2859  3 Co 2.54-2.57, 7 Zn 2.64-2.76, 2 Cu 2.68
Zn  0.0468  0.7279  0.0935  9 Zn 2.61-2.78, 1 Co 2.63, 2 Cu 2.74
Zn  0.8571  0.8019  0.7141  3 Co 2.54-2.57, 7 Zn 2.64-2.76, 2 Cu 2.68
Zn  0.6829  0.9115  0.3658  8 Zn 2.58-2.76, 3 Co 2.61-2.71, 1 Cu 2.68
Zn  0.3968  0.5415  0.7936  3 Co 2.51-2.56, 7 Zn 2.63-2.78, 1 Cu 2.69
Zn  0.9532  0.2721  0.9065  9 Zn 2.61-2.78, 1 Co 2.63, 2 Cu 2.74
Co  0.2260  0.6402  0.4521  10 Zn 2.51-2.71, 2 Co 2.78
Co  0.7740  0.3598  0.5479  10 Zn 2.51-2.71, 2 Co 2.78
Cu  0.5000  0.0000  0.0000  12 Zn 2.68-2.74

Record 7
Here is Cs3Nd3WS8 after structural relaxation from Alexandria via LeMat-Bulk. Energies are from PBE.

a b c (Å): 8.1436 8.1437 9.4955
angles (deg): 115.40 90.00 120.00
With the nearest neighbours (Å) after each atom.
Fractional coordinates of all 15 atoms:
Cs  0.0000  0.0000  0.0000  6 S 3.48-3.51
Cs  0.0000  0.5000  0.0000  6 S 3.48-3.51
Cs  0.5000  0.5000  0.0000  6 S 3.48-3.51
Nd  0.5000  0.0000  0.5000  6 S 2.82-2.87
Nd  0.5000  0.5000  0.5000  6 S 2.82-2.87
Nd  0.0000  0.5000  0.5000  6 S 2.82-2.87
W  0.0000  0.0000  0.5000  6 S 2.52
S  0.2703  0.5406  0.3109  3 Nd 2.82
S  0.7297  0.4594  0.6891  3 Nd 2.82
S  0.7946  0.5893  0.3280  1 W 2.52
S  0.2054  0.4107  0.6720  1 W 2.52
S  0.7946  0.0333  0.3280  1 W 2.52
S  0.2054  0.9667  0.6720  1 W 2.52
S  0.2386  0.0333  0.3280  1 W 2.52
S  0.7614  0.9667  0.6720  1 W 2.52

Record 8
Here is SrIn5Hg7 after structural relaxation from Alexandria via LeMat-Bulk. Energies are from PBE.

Output
**ΔH_f (0 K)**: -0.107 eV/atom

a b c (Å): 6.1184 8.1179 8.1179
angles (deg): 93.12 71.70 71.70
With the nearest neighbours (Å) after each atom.
Fractional coordinates of all 13 atoms:
Sr  0.9380  0.0596  0.0596  10 Hg 3.33-3.64
In  0.5086  0.9294  0.4488  6 Hg 3.17-3.45, 3 In 3.23-3.54
In  0.9289  0.1153  0.5210  5 Hg 2.93-3.14, 1 In 3.23
In  0.5086  0.4488  0.9294  6 Hg 3.17-3.45, 3 In 3.23-3.54
In  0.9289  0.5210  0.1153  5 Hg 2.93-3.14, 1 In 3.23
In  0.7970  0.6235  0.6235  7 Hg 3.07-3.42, 2 In 3.24
Hg  0.5562  0.4135  0.4135  2 Hg 3.05-3.14, 3 In 3.14-3.29
Hg  0.2037  0.7248  0.7248  3 Hg 3.14-3.52, 4 In 3.17-3.31, 1 Sr 3.33
Hg  0.1236  0.3142  0.7381  1 Hg 3.02, 4 In 3.06-3.37
Hg  0.1236  0.7381  0.3142  1 Hg 3.02, 4 In 3.06-3.37
Hg  0.2882  0.2412  0.2412  3 Hg 3.05-3.37, 4 In 3.09-3.29
Hg  0.5474  0.8121  0.0585  2 Hg 2.91-3.02, 3 In 2.93-3.18
Hg  0.5474  0.0585  0.8121  2 Hg 2.91-3.02, 3 In 2.93-3.18

Record 9
Here is Li3SnAs after structural relaxation from Alexandria via LeMat-Bulk. Energies are from PBE.

Output
**ΔH_f (0 K)**: 0.309 eV/atom
**Polymorph energy (0 for the lowest one)**: 781 meV per atom

a b c (Å): 4.9809 4.9809 4.9809
angles (deg): 90.00 90.00 90.00
With the nearest neighbours (Å) after each atom.
Fractional coordinates of all 5 atoms:
As  0.5000  0.5000  0.5000  12 Li 3.52
Sn  0.0000  0.0000  0.0000  6 Li 2.49
Li  0.0000  0.5000  0.0000  2 Sn 2.49
Li  0.0000  0.0000  0.5000  2 Sn 2.49
Li  0.5000  0.0000  0.0000  2 Sn 2.49

Record 10
Here is CaMgTc2 after structural relaxation from Alexandria via LeMat-Bulk. Energies are from PBE.

Output
**ΔH_f (0 K)**: 0.572 eV/atom

a b c (Å): 5.4550 5.4550 5.4550
angles (deg): 137.93 137.93 61.01
With the nearest neighbours (Å) after each atom.
Fractional coordinates of all 4 atoms:
Ca  0.2500  0.7500  0.5000  4 Mg 2.77, 8 Tc 3.06
Mg  0.7500  0.2500  0.5000  4 Ca 2.77, 8 Tc 3.06
Tc  0.0000  0.0000  0.0000  4 Tc 2.77, 4 Ca 3.06, 4 Mg 3.06
Tc  0.5000  0.5000  0.0000  4 Tc 2.77, 4 Mg 3.06, 4 Ca 3.06

Record 11
Here is InAs2ICl after structural relaxation from Alexandria via LeMat-Bulk. Energies are from PBE.

a b c (Å): 5.4333 5.6257 5.4333
angles (deg): 90.00 90.00 90.00
With the nearest neighbours (Å) after each atom.
Fractional coordinates of all 5 atoms:
I  0.0000  0.0000  0.0000  4 As 2.72, 2 Cl 2.81
As  0.0000  0.0000  0.5000  2 I 2.72
As  0.5000  0.0000  0.0000  2 I 2.72
Cl  0.0000  0.5000  0.0000  2 I 2.81
In  0.5000  0.5000  0.5000  4 Cl 3.84, 8 As 3.91

Record 12
Here is NdDyMg2 after structural relaxation from Alexandria via LeMat-Bulk. Energies are from PBE.

Output
**ΔH_f (0 K)**: 0.040 eV/atom
**Polymorph energy (0 for the lowest one)**: 141 meV per atom

a b c (Å): 3.5147 3.5147 11.1407
angles (deg): 80.92 80.92 60.00
With the nearest neighbours (Å) after each atom.
Fractional coordinates of all 4 atoms:
Mg  0.7481  0.7481  0.7557  3 Dy 3.36, 3 Nd 3.46, 6 Mg 3.51
Mg  0.2519  0.2519  0.2443  3 Dy 3.36, 3 Nd 3.46, 6 Mg 3.51
Nd  0.5000  0.5000  0.5000  6 Mg 3.46, 6 Nd 3.51
Dy  0.0000  0.0000  0.0000  6 Mg 3.36, 6 Dy 3.51

Ordered DOS(E_F) results: 1.20, 5.25, 6.01, 3.62, 15.27, 6.99, 6.07, 3.90, 2.36, 2.54, 5.39, 4.38; unit states/eV/f.u..
Ordered electronic total energy results: -8.101, -3.815, -5.301, -8.079, -5.215, -2.609, -5.642, -1.452, -2.569, -5.510, -2.405, -3.100; unit eV/atom.